No. 1
# ScCoBiAs2 (PBE, optimized geometry)
data_ScCoBiAs2
_symmetry_space_group_name_H-M 'P 4/m m m'
_symmetry_Int_Tables_number 123
_symmetry_space_group_name_Hall '-P 4 2'
_cell_length_a 5.016
_cell_length_b 5.016
_cell_length_c 5.584
_cell_angle_alpha 90.00
_cell_angle_beta 90.00
_cell_angle_gamma 90.00
loop_
_atom_site_label
_atom_site_type_symbol
_atom_site_fract_x
_atom_site_fract_y
_atom_site_fract_z
Sc1 Sc 0.000 0.000 0.000
Co1 Co 0.500 0.500 0.500
Bi1 Bi 0.000 0.000 0.500
As1 As 0.000 0.500 0.000
# formation enthalpy at 0 K = 778 meV/atom
# E = -4.55 eV/atom

***

No. 2
# ScCoBi2As (PBE, optimized geometry)
data_ScCoBi2As
_symmetry_space_group_name_H-M 'P 4/m m m'
_symmetry_Int_Tables_number 123
_symmetry_space_group_name_Hall '-P 4 2'
_cell_length_a 5.557
_cell_length_b 5.557
_cell_length_c 4.935
_cell_angle_alpha 90.00
_cell_angle_beta 90.00
_cell_angle_gamma 90.00
loop_
_atom_site_label
_atom_site_type_symbol
_atom_site_fract_x
_atom_site_fract_y
_atom_site_fract_z
Sc1 Sc 0.000 0.000 0.000
Co1 Co 0.500 0.500 0.000
Bi1 Bi 0.000 0.500 0.500
As1 As 0.000 0.000 0.500
# formation enthalpy at 0 K = 743 meV/atom
# E = -4.43 eV/atom

***

No. 3
# ScCo2BiAs (PBE, optimized geometry)
data_ScCo2BiAs
_symmetry_space_group_name_H-M 'P 4/m m m'
_symmetry_Int_Tables_number 123
_symmetry_space_group_name_Hall '-P 4 2'
_cell_length_a 4.605
_cell_length_b 4.605
_cell_length_c 5.048
_cell_angle_alpha 90.00
_cell_angle_beta 90.00
_cell_angle_gamma 90.00
loop_
_atom_site_label
_atom_site_type_symbol
_atom_site_fract_x
_atom_site_fract_y
_atom_site_fract_z
Sc1 Sc 0.000 0.000 0.000
Co1 Co 0.000 0.500 0.000
Bi1 Bi 0.500 0.500 0.500
As1 As 0.000 0.000 0.500
# formation enthalpy at 0 K = 844 meV/atom
# E = -4.97 eV/atom